Record 1
First-principles (PBE) data for YTaSb after structural relaxation, as listed in the Alexandria database.

Results
Magnetic moment = 0.00 μB/cell
DOS(E_F) = 2.2 states/eV/f.u.

```
YTaSb
1.0
3.7218 0.0000 0.0000
0.0000 3.7229 0.0000
-0.1880 0.0000 10.1019
Y Ta Sb
2 2 2
direct
0.0000 0.0000 0.0000
0.0169 0.0000 0.3477
0.0177 0.0000 0.6880
0.4931 0.5000 0.8232
0.5063 0.5000 0.5396
0.5073 0.5000 0.1601
```

***

Record 2
First-principles (PBE) data for YTaSb after structural relaxation, as listed in the Alexandria database.

Results
Magnetic moment = 0.00 μB/cell
DOS(E_F) = 1.8 states/eV/f.u.

```
YTaSb
1.0
4.1433 0.0000 0.0000
0.0000 4.1433 0.0000
0.0000 0.0000 8.1574
Y Ta Sb
2 2 2
direct
0.2500 0.2500 0.1419
0.7500 0.7500 0.8581
0.2500 0.7500 0.5000
0.7500 0.2500 0.5000
0.2500 0.2500 0.7524
0.7500 0.7500 0.2476
```

***

Record 3
First-principles (PBE) data for YTaSb after structural relaxation, as listed in the Alexandria database.

Results
Magnetic moment = 0.00 μB/cell
DOS(E_F) = 3.0 states/eV/f.u.

```
YTaSb
1.0
3.9607 0.0000 0.0000
0.0000 5.2007 0.0000
0.0000 0.0000 13.7920
Y Ta Sb
4 4 4
direct
0.0000 0.0000 0.0000
0.0000 0.5000 0.5000
0.5000 0.0000 0.5000
0.5000 0.5000 0.0000
0.0000 0.0000 0.6706
0.0000 0.5000 0.1706
0.5000 0.0000 0.1706
0.5000 0.5000 0.6706
0.0000 0.0000 0.3168
0.0000 0.5000 0.8168
0.5000 0.0000 0.8168
0.5000 0.5000 0.3168
```

***

Record 4
First-principles (PBE) data for Y3TaSb after structural relaxation, as listed in the Alexandria database.

Results
Excess energy over the best structure of this formula in the dataset = 314.0 meV per atom
Magnetic moment = 3.26 μB/cell
DOS(E_F) = 8.5 states/eV/f.u.

```
Y3TaSb
1.0
5.5912 0.0000 0.0000
0.0000 5.5912 0.0000
0.0000 0.0000 5.5912
Y Ta Sb
3 1 1
direct
0.0000 0.0000 0.5000
0.0000 0.5000 0.0000
0.5000 0.0000 0.0000
0.5000 0.5000 0.5000
0.0000 0.0000 0.0000
```

***

Record 5
First-principles (PBE) data for Ta2ZnSb after structural relaxation, as listed in the Alexandria database.

Results
Excess energy over the best structure of this formula in the dataset = 159.0 meV per atom
Magnetic moment = 0.00 μB/cell
DOS(E_F) = 2.1 states/eV/f.u.

```
Ta2ZnSb
1.0
2.9592 0.0000 0.0000
0.0000 4.6720 0.0000
-1.0289 0.0000 5.3350
Ta Zn Sb
2 1 1
direct
0.0000 0.0000 0.0000
0.1810 0.5000 0.7187
0.6597 0.5000 0.1874
0.6065 0.0000 0.4836
```

***

Record 6
First-principles (PBE) data for TaZnSb2 after structural relaxation, as listed in the Alexandria database.

Results
Magnetic moment = 0.00 μB/cell
DOS(E_F) = 1.8 states/eV/f.u.

```
TaZnSb2
1.0
3.8044 0.0000 0.0000
0.0000 4.9107 0.0000
0.0000 0.0000 9.7324
Ta Zn Sb
2 2 4
direct
0.0000 0.0000 0.0000
0.5000 0.5000 0.0000
0.0000 0.5000 0.1972
0.5000 0.0000 0.1972
0.0000 0.0000 0.4072
0.0000 0.5000 0.7764
0.5000 0.0000 0.7764
0.5000 0.5000 0.4072
```

***

Record 7
First-principles (PBE) data for Ta2ZnSb after structural relaxation, as listed in the Alexandria database.

Results
Excess energy over the best structure of this formula in the dataset = 255.9 meV per atom
Magnetic moment = 0.00 μB/cell
DOS(E_F) = 2.6 states/eV/f.u.

```
Ta2ZnSb
1.0
3.0749 0.0000 0.0000
0.0000 3.0749 0.0000
0.0000 0.0000 7.7087
Ta Zn Sb
2 1 1
direct
0.0000 0.0000 0.2295
0.0000 0.0000 0.7705
0.5000 0.5000 0.0000
0.5000 0.5000 0.5000
```

***

Record 8
First-principles (PBE) data for TaZn2Sb after structural relaxation, as listed in the Alexandria database.

Results
Magnetic moment = 0.00 μB/cell
DOS(E_F) = 1.8 states/eV/f.u.

```
TaZn2Sb
1.0
3.5680 0.0000 0.0000
0.0000 3.5680 0.0000
0.0000 0.0000 5.7244
Ta Zn Sb
1 2 1
direct
0.0000 0.0000 0.0000
0.0000 0.0000 0.4795
0.5000 0.5000 0.2667
0.5000 0.5000 0.7687
```

***

Record 9
First-principles (PBE) data for TaZn2Sb after structural relaxation, as listed in the Alexandria database.

Results
Magnetic moment = 0.00 μB/cell
DOS(E_F) = 1.5 states/eV/f.u.

```
TaZn2Sb
1.0
2.8585 0.0000 0.0000
0.0000 4.6987 0.0000
-0.0013 0.0000 5.4176
Ta Zn Sb
1 2 1
direct
0.0000 0.0000 0.0000
0.4983 0.0000 0.5347
0.4997 0.5000 0.7510
0.5015 0.5000 0.2393
```

***

Record 10
First-principles (PBE) data for TaZnSb after structural relaxation, as listed in the Alexandria database.

Results
Magnetic moment = 0.00 μB/cell
DOS(E_F) = 0.7 states/eV/f.u.

```
TaZnSb
1.0
3.0155 0.0000 0.0000
0.0000 3.0155 0.0000
0.0000 0.0000 14.6267
Ta Zn Sb
2 2 2
direct
0.0000 0.0000 0.0000
0.5000 0.5000 0.5000
0.0000 0.0000 0.3788
0.5000 0.5000 0.8788
0.0000 0.0000 0.6513
0.5000 0.5000 0.1513
```

***

Record 11
First-principles (PBE) data for TaZnSb3 after structural relaxation, as listed in the Alexandria database.

Results
Excess energy over the best structure of this formula in the dataset = 0.0 meV per atom
Magnetic moment = 0.00 μB/cell
DOS(E_F) = 3.5 states/eV/f.u.

```
TaZnSb3
1.0
5.3629 0.0000 0.0000
0.0000 5.3629 0.0000
0.0000 0.0000 5.3629
Ta Zn Sb
1 1 3
direct
0.0000 0.0000 0.0000
0.5000 0.5000 0.5000
0.0000 0.0000 0.5000
0.0000 0.5000 0.0000
0.5000 0.0000 0.0000
```

***

Record 12
First-principles (PBE) data for TaZnSb2 after structural relaxation, as listed in the Alexandria database.

Results
Magnetic moment = 0.00 μB/cell
DOS(E_F) = 2.8 states/eV/f.u.

```
TaZnSb2
1.0
3.5090 0.0000 0.0000
0.0000 4.6745 0.0000
0.0000 0.0000 5.1268
Ta Zn Sb
1 1 2
direct
0.0000 0.0000 0.0000
0.5000 0.0000 0.5000
0.0000 0.5000 0.5000
0.5000 0.5000 0.0000
```

***

Calculated values (eV/cell) of DFT total energy for the records, taken in order: -46.9; -48.2; -89.5; -31.5; -28.3; -41.4; -27.9; -18.2; -17.8; -33.0; -23.1; -19.5.
Calculated values (Å³/atom) of V for the records, taken in order: 23.33; 23.34; 23.67; 34.96; 18.44; 22.73; 18.22; 18.22; 18.19; 22.17; 30.85; 21.02.
Calculated values (eV per atom) of ΔE_f (raw) for the records, taken in order: -0.3403; -0.5598; 0.0210; 0.7689; 0.1974; 0.1648; 0.2943; 0.0751; 0.1795; 0.2548; 0.4765; 0.4584.